[1]
Below is a geometry-optimized PIrPt2 structure, with properties calculated at the GGA-PBE level.

Unit cell a=5.411 b=5.411 c=5.411 alpha=148.62 beta=132.59 gamma=57.96
Sites, in units of the cell vectors:
P  0.000  0.000  0.000
Ir  0.811  0.311  0.500
Pt  0.197  0.697  0.500
Pt  0.504  0.504  0.000

formation energy from the elements	-0.03	eV per atom

[2]
Below is a geometry-optimized PIr2Pt structure, with properties calculated at the GGA-PBE level.

Unit cell a=2.833 b=2.833 c=7.205 alpha=90.00 beta=90.00 gamma=90.00
Sites, in units of the cell vectors:
P  0.000  0.000  0.000
Ir  0.000  0.000  0.521
Ir  0.500  0.500  0.792
Pt  0.500  0.500  0.245

formation energy from the elements	0.12	eV per atom

| no. | M_tot (μB per formula unit) |
| --- | --- |
| 1 | 0.00 |
| 2 | 0.00 |